## TiZnSe2N (PBE)

Data for a relaxed TiZnSe2N crystal.

The space group is P4/mmm (No. 123) and the conventional cell measures 5.106, 5.106 and 3.759 Å, with angles of 90.00, 90.00 and 90.00 degrees. The asymmetric unit holds Ti at (0.000, 0.000, 0.000), Zn at (0.500, 0.500, 0.500), Se at (0.000, 0.500, 0.000) and N at (0.000, 0.000, 0.500).

Its energy relative to the lowest polymorph listed for this composition is 0.0000 eV/atom. Its crystal system is tetragonal. Its formation energy from raw total energies is -0.04 eV/atom.

***

## Sc2Co5B2Os (PBE)

Data for a relaxed Sc2Co5B2Os crystal.

The space group is P4/mbm (No. 127) and the conventional cell measures 8.845, 8.845 and 2.940 Å, with angles of 90.00, 90.00 and 90.00 degrees. The asymmetric unit holds Sc at (0.178, 0.322, 0.000), Co at (0.000, 0.500, 0.500), Co at (0.068, 0.774, 0.500), B at (0.117, 0.617, 0.000) and Os at (0.000, 0.000, 0.000).

Its crystal system is tetragonal. The value obtained for the energy of formation is -3.79 eV/f.u.

***

## Ac5Si2Sn2 (PBE)

Data for a relaxed Ac5Si2Sn2 crystal.

The space group is Cmce (No. 64) and the conventional cell measures 16.723, 8.584 and 8.607 Å, with angles of 90.00, 90.00 and 90.00 degrees. The asymmetric unit holds Ac at (0.000, 0.000, 0.000), Ac at (0.133, 0.178, 0.325), Si at (0.000, 0.107, 0.608) and Sn at (0.209, 0.000, 0.000).

Its crystal system is orthorhombic. Its formation energy from raw total energies is -0.59 eV/atom.

***

## CsSrSb (PBE)

Data for a relaxed CsSrSb crystal.

The space group is Cm (No. 8) and the conventional cell measures 9.682, 5.632 and 10.808 Å, with angles of 90.00, 90.05 and 90.00 degrees. The asymmetric unit holds Cs at (0.000, 0.000, 0.000), Cs at (0.164, 0.500, 0.746), Sr at (0.332, 0.000, 0.266), Sr at (0.495, 0.500, 0.471), Sb at (0.167, 0.500, 0.200) and Sb at (0.330, 0.000, 0.572).

Its crystal system is monoclinic. Its formation energy from raw total energies is -0.67 eV/atom.

***

## Pt3AuCl (PBE)

Data for a relaxed Pt3AuCl crystal.

The space group is Pm-3m (No. 221) and the conventional cell measures 5.003, 5.003 and 5.003 Å, with angles of 90.00, 90.00 and 90.00 degrees. The asymmetric unit holds Pt at (0.000, 0.000, 0.500), Au at (0.000, 0.000, 0.000) and Cl at (0.500, 0.500, 0.500).

Its energy relative to the lowest polymorph listed for this composition is 0.5598 eV/atom. Its crystal system is cubic. Its formation energy from raw total energies is 1.51 eV/atom.

***

## ScInFe2 (PBE)

Data for a relaxed ScInFe2 crystal.

The space group is Pm (No. 6) and the conventional cell measures 2.995, 4.091 and 5.580 Å, with angles of 90.00, 103.24 and 90.00 degrees. The asymmetric unit holds Sc at (0.000, 0.000, 0.000), In at (0.375, 0.500, 0.673), Fe at (0.562, 0.500, 0.223) and Fe at (0.845, 0.000, 0.440).

Its crystal system is monoclinic. The value obtained for the energy of formation is 0.13 eV/f.u.

***

## TmTaAl2 (PBE)

Data for a relaxed TmTaAl2 crystal.

The space group is P4/mmm (No. 123) and the conventional cell measures 3.500, 3.500 and 6.351 Å, with angles of 90.00, 90.00 and 90.00 degrees. The asymmetric unit holds Tm at (0.000, 0.000, 0.000), Ta at (0.000, 0.000, 0.500) and Al at (0.500, 0.500, 0.294).

Its energy relative to the lowest polymorph listed for this composition is 0.0000 eV/atom. Its crystal system is tetragonal. The value obtained for the energy of formation is -0.69 eV/f.u.

***

## BaTe2Ru (PBE)

Data for a relaxed BaTe2Ru crystal.

The space group is F-43m (No. 216) and the conventional cell measures 7.645, 7.645 and 7.645 Å, with angles of 90.00, 90.00 and 90.00 degrees. The asymmetric unit holds Ba at (0.000, 0.000, 0.000), Te at (0.000, 0.000, 0.500), Te at (0.250, 0.250, 0.750) and Ru at (0.250, 0.250, 0.250).

Its energy relative to the lowest polymorph listed for this composition is 1.0017 eV/atom. Its crystal system is cubic. Its formation energy from raw total energies is 0.33 eV/atom.

***

no.,calculated density (Mg/m³)
1,4.832
2,8.611
3,7.680
4,3.858
5,10.840
6,6.773
7,8.618
8,7.337